(1)
DFT (PBE) results for crystalline La6Ir2PtCl2 at its relaxed geometry.

The space group is C2/m, No. 12. The value obtained for the calculated total energy is -69.989 eV/cell. Its formation energy (no corrections) is -1.18 eV per atom.

Cell lengths 7.3496, 7.3496, 7.6818 Å; angles 99.15, 99.15, 119.83 degrees
With the nearest neighbours (Å) after each atom.
Sites, in units of the cell vectors:
La: 0.0877 0.4252 0.7866  2 Ir 2.87-2.88, 1 Pt 2.94, 1 Cl 3.19
La: 0.2264 0.2264 0.2120  2 Ir 2.89, 1 Pt 2.97
La: 0.4252 0.0877 0.7866  2 Ir 2.87-2.88, 1 Pt 2.94, 1 Cl 3.19
La: 0.5748 0.9123 0.2134  2 Ir 2.87-2.88, 1 Pt 2.94, 1 Cl 3.19
La: 0.7736 0.7736 0.7880  2 Ir 2.89, 1 Pt 2.97
La: 0.9123 0.5748 0.2134  2 Ir 2.87-2.88, 1 Pt 2.94, 1 Cl 3.19
Ir: 0.1692 0.8308 0.0000  6 La 2.87-2.89
Ir: 0.8308 0.1692 0.0000  6 La 2.87-2.89
Pt: 0.5000 0.5000 0.0000  6 La 2.94-2.97
Cl: 0.3332 0.6668 0.5000  6 La 3.19-3.26
Cl: 0.6668 0.3332 0.5000  6 La 3.19-3.26

(2)
DFT (PBE) results for crystalline LaPuIrCl at its relaxed geometry.

The space group is R3m, No. 160. The value obtained for the calculated total energy is -102.225 eV/cell. Its formation energy (no corrections) is -1.03 eV per atom.

Cell lengths 4.0552, 4.0552, 23.2260 Å; angles 90.00, 90.00, 120.00 degrees
With the nearest neighbours (Å) after each atom.
Sites, in units of the cell vectors:
La: 0.0000 0.0000 0.0000  3 Ir 2.88
La: 0.3333 0.6667 0.6667  3 Ir 2.88
La: 0.6667 0.3333 0.3333  3 Ir 2.88
Pu: 0.0000 0.0000 0.1977  3 Ir 2.76
Pu: 0.3333 0.6667 0.8644  3 Ir 2.76
Pu: 0.6667 0.3333 0.5311  3 Ir 2.76
Ir: 0.0000 0.0000 0.5942  3 Pu 2.76, 3 La 2.88
Ir: 0.3333 0.6667 0.2609  3 Pu 2.76, 3 La 2.88
Ir: 0.6667 0.3333 0.9275  3 Pu 2.76, 3 La 2.88
Cl: 0.0000 0.0000 0.7648  3 La 3.27, 3 Pu 3.29
Cl: 0.3333 0.6667 0.4314  3 La 3.27, 3 Pu 3.29
Cl: 0.6667 0.3333 0.0981  3 La 3.27, 3 Pu 3.29

(3)
DFT (PBE) results for crystalline Rb2LaIrCl6 at its relaxed geometry.

The space group is I4/mmm, No. 139. The value obtained for the calculated total energy is -41.210 eV/cell. Its formation energy (no corrections) is -1.44 eV per atom.

Cell lengths 7.5751, 7.5751, 7.5751 Å; angles 120.16, 120.16, 89.72 degrees
With the nearest neighbours (Å) after each atom.
Sites, in units of the cell vectors:
Rb: 0.2500 0.7500 0.5000  12 Cl 3.78-3.79
Rb: 0.7500 0.2500 0.5000  12 Cl 3.78-3.79
La: 0.0000 0.0000 0.0000  6 Cl 2.77
Ir: 0.5000 0.5000 0.0000  6 Cl 2.57-2.60
Cl: 0.2581 0.2581 0.0000  1 Ir 2.60, 1 La 2.77
Cl: 0.2594 0.2594 0.5189  1 Ir 2.57, 1 La 2.77
Cl: 0.2594 0.7406 0.0000  1 Ir 2.57, 1 La 2.77
Cl: 0.7406 0.2594 0.0000  1 Ir 2.57, 1 La 2.77
Cl: 0.7406 0.7406 0.4811  1 Ir 2.57, 1 La 2.77
Cl: 0.7419 0.7419 0.0000  1 Ir 2.60, 1 La 2.77

(4)
DFT (PBE) results for crystalline RbLaIrCl2 at its relaxed geometry.

The space group is P4/mmm, No. 123. The value obtained for the calculated total energy is -15.604 eV/cell. Its formation energy (no corrections) is 0.57 eV per atom.

Cell lengths 5.3526, 5.3526, 6.9028 Å; angles 90.00, 90.00, 90.00 degrees
With the nearest neighbours (Å) after each atom.
Sites, in units of the cell vectors:
Rb: 0.0000 0.0000 0.0000  4 Cl 2.68
La: 0.0000 0.0000 0.5000  2 Rb 3.45, 4 Ir 3.78
Ir: 0.5000 0.5000 0.5000  4 La 3.78
Cl: 0.0000 0.5000 0.0000  2 Rb 2.68
Cl: 0.5000 0.0000 0.0000  2 Rb 2.68

(5)
DFT (PBE) results for crystalline La8IrRh3Cl4 at its relaxed geometry.

The space group is C2/m, No. 12. The value obtained for the calculated total energy is -98.524 eV/cell. Its formation energy (no corrections) is -1.30 eV per atom.

Cell lengths 8.3219, 8.3219, 9.0589 Å; angles 117.39, 117.39, 60.01 degrees
With the nearest neighbours (Å) after each atom.
Sites, in units of the cell vectors:
La: 0.2345 0.2345 0.7048  1 Ir 2.86, 2 Rh 2.87
La: 0.2345 0.7365 0.7048  1 Ir 2.86, 2 Rh 2.87-2.88
La: 0.2635 0.7655 0.2952  1 Ir 2.86, 2 Rh 2.87-2.88
La: 0.2649 0.2649 0.2953  3 Rh 2.87
La: 0.7351 0.7351 0.7047  3 Rh 2.87
La: 0.7365 0.2345 0.7048  1 Ir 2.86, 2 Rh 2.87-2.88
La: 0.7655 0.2635 0.2952  1 Ir 2.86, 2 Rh 2.87-2.88
La: 0.7655 0.7655 0.2952  1 Ir 2.86, 2 Rh 2.87
Ir: 0.0000 0.0000 0.5000  6 La 2.86
Rh: 0.0000 0.5000 0.5000  6 La 2.87-2.88
Rh: 0.5000 0.0000 0.5000  6 La 2.87-2.88
Rh: 0.5000 0.5000 0.5000  6 La 2.87
Cl: 0.0000 0.0000 0.0000  6 La 3.30
Cl: 0.0000 0.5000 0.0000  6 La 3.29-3.30
Cl: 0.5000 0.0000 0.0000  6 La 3.29-3.30
Cl: 0.5000 0.5000 0.0000  6 La 3.30-3.31

(6)
DFT (PBE) results for crystalline La6IrRh2Cl2 at its relaxed geometry.

The space group is C2/m, No. 12. The value obtained for the calculated total energy is -68.766 eV/cell. Its formation energy (no corrections) is -1.09 eV per atom.

Cell lengths 7.2834, 7.2834, 7.7411 Å; angles 98.99, 98.99, 120.12 degrees
With the nearest neighbours (Å) after each atom.
Sites, in units of the cell vectors:
La: 0.0965 0.4270 0.7883  2 Rh 2.87, 1 Ir 2.87
La: 0.2371 0.2371 0.2107  1 Ir 2.88, 2 Rh 2.91
La: 0.4270 0.0965 0.7883  2 Rh 2.87, 1 Ir 2.87
La: 0.5730 0.9035 0.2117  2 Rh 2.87, 1 Ir 2.87
La: 0.7629 0.7629 0.7893  1 Ir 2.88, 2 Rh 2.91
La: 0.9035 0.5730 0.2117  2 Rh 2.87, 1 Ir 2.87
Ir: 0.5000 0.5000 0.0000  6 La 2.87-2.88
Rh: 0.1696 0.8304 0.0000  6 La 2.87-2.91
Rh: 0.8304 0.1696 0.0000  6 La 2.87-2.91
Cl: 0.3334 0.6666 0.5000  6 La 3.22-3.23
Cl: 0.6666 0.3334 0.5000  6 La 3.22-3.23

(7)
DFT (PBE) results for crystalline La4IrRhCl2 at its relaxed geometry.

The space group is P2/m, No. 10. The value obtained for the calculated total energy is -50.137 eV/cell. Its formation energy (no corrections) is -1.32 eV per atom.

Cell lengths 7.2242, 4.1660, 8.0303 Å; angles 90.00, 107.34, 90.00 degrees
With the nearest neighbours (Å) after each atom.
Sites, in units of the cell vectors:
La: 0.2319 0.0000 0.2046  2 Ir 2.86, 1 Rh 2.89
La: 0.2655 0.5000 0.7953  2 Rh 2.87, 1 Ir 2.87
La: 0.7345 0.5000 0.2047  2 Rh 2.87, 1 Ir 2.87
La: 0.7681 0.0000 0.7954  2 Ir 2.86, 1 Rh 2.89
Ir: 0.0000 0.5000 0.0000  6 La 2.86-2.87
Rh: 0.5000 0.0000 0.0000  6 La 2.87-2.89
Cl: 0.0000 0.0000 0.5000  6 La 3.29-3.31
Cl: 0.5000 0.5000 0.5000  6 La 3.30-3.31

(8)
DFT (PBE) results for crystalline La6Ir2RuCl3 at its relaxed geometry.

The space group is C2/m, No. 12. The value obtained for the calculated total energy is -76.972 eV/cell. Its formation energy (no corrections) is -1.24 eV per atom.

Cell lengths 9.9548, 9.9548, 9.0387 Å; angles 109.30, 109.30, 24.13 degrees
With the nearest neighbours (Å) after each atom.
Sites, in units of the cell vectors:
La: 0.0088 0.0088 0.2223  2 Ru 2.86, 1 Ir 2.90
La: 0.3234 0.3234 0.4425  3 Ir 2.86-2.87
La: 0.3462 0.3462 0.8955  1 Ru 2.82, 2 Ir 2.89
La: 0.6538 0.6538 0.1045  1 Ru 2.82, 2 Ir 2.89
La: 0.6766 0.6766 0.5575  3 Ir 2.86-2.87
La: 0.9912 0.9912 0.7777  2 Ru 2.86, 1 Ir 2.90
Ir: 0.1670 0.1670 0.3336  6 La 2.86-2.90
Ir: 0.8330 0.8330 0.6664  6 La 2.86-2.90
Ru: 0.5000 0.5000 0.0000  6 La 2.82-2.86
Cl: 0.1648 0.1648 0.8322  6 La 3.25-3.38
Cl: 0.5000 0.5000 0.5000  6 La 3.30-3.31
Cl: 0.8352 0.8352 0.1678  6 La 3.25-3.38